Entry 1:
# HoThSn2 (GGA-PBE, optimized geometry)
# offset from the most stable computed form = 20.52 kJ per mole of atoms
# space-group type = R-3m
# ΔH_f (0 K) = -396.6 meV per atom
# spin magnetization = 0.00 μB/atom
data_HoThSn2
_chemical_formula_sum 'Ho1 Th1 Sn2'
_symmetry_space_group_name_H-M 'P 1'
_symmetry_Int_Tables_number 1
_symmetry_space_group_name_Hall 'P 1'
_cell_length_a 10.521
_cell_length_b 10.521
_cell_length_c 10.521
_cell_angle_alpha 19.48
_cell_angle_beta 19.48
_cell_angle_gamma 19.48
loop_
_atom_site_label
_atom_site_type_symbol
_atom_site_fract_x
_atom_site_fract_y
_atom_site_fract_z
Ho1 Ho 0.000 0.000 0.000
Th1 Th 0.500 0.500 0.500
Sn1 Sn 0.253 0.253 0.253
Sn2 Sn 0.747 0.747 0.747

Entry 2:
# HoThSn6 (GGA-PBE, optimized geometry)
# space-group type = P4/mmm
# ΔH_f (0 K) = -423.6 meV per atom
# spin magnetization = 0.00 μB/atom
data_HoThSn6
_chemical_formula_sum 'Ho1 Th1 Sn6'
_symmetry_space_group_name_H-M 'P 1'
_symmetry_Int_Tables_number 1
_symmetry_space_group_name_Hall 'P 1'
_cell_length_a 4.737
_cell_length_b 4.737
_cell_length_c 9.418
_cell_angle_alpha 90.00
_cell_angle_beta 90.00
_cell_angle_gamma 90.00
loop_
_atom_site_label
_atom_site_type_symbol
_atom_site_fract_x
_atom_site_fract_y
_atom_site_fract_z
Ho1 Ho 0.000 0.000 0.000
Th1 Th 0.000 0.000 0.500
Sn1 Sn 0.000 0.500 0.245
Sn2 Sn 0.000 0.500 0.755
Sn3 Sn 0.500 0.000 0.245
Sn4 Sn 0.500 0.000 0.755
Sn5 Sn 0.500 0.500 0.000
Sn6 Sn 0.500 0.500 0.500

Entry 3:
# HoThSn2 (GGA-PBE, optimized geometry)
# offset from the most stable computed form = 5.74 kJ per mole of atoms
# space-group type = P4/mmm
# ΔH_f (0 K) = -549.8 meV per atom
# spin magnetization = 0.00 μB/atom
data_HoThSn2
_chemical_formula_sum 'Ho1 Th1 Sn2'
_symmetry_space_group_name_H-M 'P 1'
_symmetry_Int_Tables_number 1
_symmetry_space_group_name_Hall 'P 1'
_cell_length_a 3.510
_cell_length_b 3.510
_cell_length_c 8.892
_cell_angle_alpha 90.00
_cell_angle_beta 90.00
_cell_angle_gamma 90.00
loop_
_atom_site_label
_atom_site_type_symbol
_atom_site_fract_x
_atom_site_fract_y
_atom_site_fract_z
Ho1 Ho 0.000 0.000 0.000
Th1 Th 0.000 0.000 0.500
Sn1 Sn 0.500 0.500 0.241
Sn2 Sn 0.500 0.500 0.759

Entry 4:
# HoTh2Sn9 (GGA-PBE, optimized geometry)
# space-group type = P4/mmm
# ΔH_f (0 K) = -429.5 meV per atom
# spin magnetization = 0.00 μB/atom
data_HoTh2Sn9
_chemical_formula_sum 'Ho1 Th2 Sn9'
_symmetry_space_group_name_H-M 'P 1'
_symmetry_Int_Tables_number 1
_symmetry_space_group_name_Hall 'P 1'
_cell_length_a 4.742
_cell_length_b 4.742
_cell_length_c 14.177
_cell_angle_alpha 90.00
_cell_angle_beta 90.00
_cell_angle_gamma 90.00
loop_
_atom_site_label
_atom_site_type_symbol
_atom_site_fract_x
_atom_site_fract_y
_atom_site_fract_z
Ho1 Ho 0.000 0.000 0.000
Th1 Th 0.000 0.000 0.333
Th2 Th 0.000 0.000 0.667
Sn1 Sn 0.000 0.500 0.163
Sn2 Sn 0.000 0.500 0.500
Sn3 Sn 0.000 0.500 0.837
Sn4 Sn 0.500 0.000 0.163
Sn5 Sn 0.500 0.000 0.500
Sn6 Sn 0.500 0.000 0.837
Sn7 Sn 0.500 0.500 0.000
Sn8 Sn 0.500 0.500 0.331
Sn9 Sn 0.500 0.500 0.669

Entry 5:
# HoTh5Sn4 (GGA-PBE, optimized geometry)
# space-group type = C2/m
# ΔH_f (0 K) = -254.0 meV per atom
# spin magnetization = 0.00 μB/atom
data_HoTh5Sn4
_chemical_formula_sum 'Ho1 Th5 Sn4'
_symmetry_space_group_name_H-M 'P 1'
_symmetry_Int_Tables_number 1
_symmetry_space_group_name_Hall 'P 1'
_cell_length_a 8.813
_cell_length_b 8.813
_cell_length_c 6.973
_cell_angle_alpha 90.86
_cell_angle_beta 90.86
_cell_angle_gamma 36.46
loop_
_atom_site_label
_atom_site_type_symbol
_atom_site_fract_x
_atom_site_fract_y
_atom_site_fract_z
Ho1 Ho 0.000 0.000 0.000
Th1 Th 0.000 0.000 0.500
Th2 Th 0.331 0.331 0.994
Th3 Th 0.335 0.335 0.499
Th4 Th 0.665 0.665 0.501
Th5 Th 0.669 0.669 0.006
Sn1 Sn 0.168 0.168 0.248
Sn2 Sn 0.495 0.495 0.239
Sn3 Sn 0.505 0.505 0.761
Sn4 Sn 0.832 0.832 0.752

Entry 6:
# HoThSn2 (GGA-PBE, optimized geometry)
# offset from the most stable computed form = 15.03 kJ per mole of atoms
# space-group type = Fm-3m
# ΔH_f (0 K) = -453.5 meV per atom
# spin magnetization = 0.00 μB/atom
data_HoThSn2
_chemical_formula_sum 'Ho1 Th1 Sn2'
_symmetry_space_group_name_H-M 'P 1'
_symmetry_Int_Tables_number 1
_symmetry_space_group_name_Hall 'P 1'
_cell_length_a 5.413
_cell_length_b 5.413
_cell_length_c 5.413
_cell_angle_alpha 60.00
_cell_angle_beta 60.00
_cell_angle_gamma 60.00
loop_
_atom_site_label
_atom_site_type_symbol
_atom_site_fract_x
_atom_site_fract_y
_atom_site_fract_z
Ho1 Ho 0.000 0.000 0.000
Th1 Th 0.500 0.500 0.500
Sn1 Sn 0.250 0.250 0.250
Sn2 Sn 0.750 0.750 0.750

Entry 7:
# HoThSn2 (GGA-PBE, optimized geometry)
# offset from the most stable computed form = 5.60 kJ per mole of atoms
# space-group type = P4/mmm
# ΔH_f (0 K) = -551.2 meV per atom
# spin magnetization = 0.00 μB/atom
data_HoThSn2
_chemical_formula_sum 'Ho1 Th1 Sn2'
_symmetry_space_group_name_H-M 'P 1'
_symmetry_Int_Tables_number 1
_symmetry_space_group_name_Hall 'P 1'
_cell_length_a 4.959
_cell_length_b 4.959
_cell_length_c 4.474
_cell_angle_alpha 90.00
_cell_angle_beta 90.00
_cell_angle_gamma 90.00
loop_
_atom_site_label
_atom_site_type_symbol
_atom_site_fract_x
_atom_site_fract_y
_atom_site_fract_z
Ho1 Ho 0.000 0.000 0.000
Th1 Th 0.500 0.500 0.000
Sn1 Sn 0.000 0.500 0.500
Sn2 Sn 0.500 0.000 0.500

Entry 8:
# HoTh2Sn (GGA-PBE, optimized geometry)
# offset from the most stable computed form = 0.00 kJ per mole of atoms
# space-group type = P4/mmm
# ΔH_f (0 K) = -344.1 meV per atom
# spin magnetization = 0.00 μB/atom
data_HoTh2Sn
_chemical_formula_sum 'Ho1 Th2 Sn1'
_symmetry_space_group_name_H-M 'P 1'
_symmetry_Int_Tables_number 1
_symmetry_space_group_name_Hall 'P 1'
_cell_length_a 4.799
_cell_length_b 4.799
_cell_length_c 5.059
_cell_angle_alpha 90.00
_cell_angle_beta 90.00
_cell_angle_gamma 90.00
loop_
_atom_site_label
_atom_site_type_symbol
_atom_site_fract_x
_atom_site_fract_y
_atom_site_fract_z
Ho1 Ho 0.000 0.000 0.000
Th1 Th 0.000 0.500 0.500
Th2 Th 0.500 0.000 0.500
Sn1 Sn 0.500 0.500 0.000

Entry 9:
# Ho3Th5Sn12 (GGA-PBE, optimized geometry)
# space-group type = Ia-3d
# ΔH_f (0 K) = 85.3 meV per atom
# spin magnetization = 0.00 μB/atom
data_Ho3Th5Sn12
_chemical_formula_sum 'Ho12 Th20 Sn48'
_symmetry_space_group_name_H-M 'P 1'
_symmetry_Int_Tables_number 1
_symmetry_space_group_name_Hall 'P 1'
_cell_length_a 15.599
_cell_length_b 15.599
_cell_length_c 15.599
_cell_angle_alpha 109.47
_cell_angle_beta 109.47
_cell_angle_gamma 109.47
loop_
_atom_site_label
_atom_site_type_symbol
_atom_site_fract_x
_atom_site_fract_y
_atom_site_fract_z
Ho1 Ho 0.125 0.250 0.375
Ho2 Ho 0.125 0.375 0.750
Ho3 Ho 0.250 0.375 0.125
Ho4 Ho 0.250 0.875 0.625
Ho5 Ho 0.375 0.125 0.250
Ho6 Ho 0.375 0.750 0.125
Ho7 Ho 0.625 0.250 0.875
Ho8 Ho 0.625 0.875 0.750
Ho9 Ho 0.750 0.125 0.375
Ho10 Ho 0.750 0.625 0.875
Ho11 Ho 0.875 0.625 0.250
Ho12 Ho 0.875 0.750 0.625
Th1 Th 0.000 0.000 0.000
Th2 Th 0.000 0.000 0.500
Th3 Th 0.000 0.500 0.000
Th4 Th 0.000 0.500 0.500
Th5 Th 0.125 0.750 0.875
Th6 Th 0.125 0.875 0.250
Th7 Th 0.250 0.125 0.875
Th8 Th 0.250 0.625 0.375
Th9 Th 0.375 0.250 0.625
Th10 Th 0.375 0.625 0.750
Th11 Th 0.500 0.000 0.000
Th12 Th 0.500 0.000 0.500
Th13 Th 0.500 0.500 0.000
Th14 Th 0.500 0.500 0.500
Th15 Th 0.625 0.375 0.250
Th16 Th 0.625 0.750 0.375
Th17 Th 0.750 0.375 0.625
Th18 Th 0.750 0.875 0.125
Th19 Th 0.875 0.125 0.750
Th20 Th 0.875 0.250 0.125
Sn1 Sn 0.077 0.238 0.155
Sn2 Sn 0.077 0.339 0.922
Sn3 Sn 0.078 0.655 0.417
Sn4 Sn 0.078 0.923 0.661
Sn5 Sn 0.083 0.738 0.661
Sn6 Sn 0.083 0.845 0.422
Sn7 Sn 0.155 0.077 0.238
Sn8 Sn 0.155 0.578 0.917
Sn9 Sn 0.161 0.238 0.583
Sn10 Sn 0.161 0.423 0.578
Sn11 Sn 0.238 0.155 0.077
Sn12 Sn 0.238 0.583 0.161
Sn13 Sn 0.262 0.339 0.917
Sn14 Sn 0.262 0.423 0.345
Sn15 Sn 0.339 0.917 0.262
Sn16 Sn 0.339 0.922 0.077
Sn17 Sn 0.345 0.262 0.423
Sn18 Sn 0.345 0.583 0.922
Sn19 Sn 0.417 0.078 0.655
Sn20 Sn 0.417 0.839 0.762
Sn21 Sn 0.422 0.083 0.845
Sn22 Sn 0.422 0.839 0.577
Sn23 Sn 0.423 0.345 0.262
Sn24 Sn 0.423 0.578 0.161
Sn25 Sn 0.577 0.422 0.839
Sn26 Sn 0.577 0.655 0.738
Sn27 Sn 0.578 0.161 0.423
Sn28 Sn 0.578 0.917 0.155
Sn29 Sn 0.583 0.161 0.238
Sn30 Sn 0.583 0.922 0.345
Sn31 Sn 0.655 0.417 0.078
Sn32 Sn 0.655 0.738 0.577
Sn33 Sn 0.661 0.078 0.923
Sn34 Sn 0.661 0.083 0.738
Sn35 Sn 0.738 0.577 0.655
Sn36 Sn 0.738 0.661 0.083
Sn37 Sn 0.762 0.417 0.839
Sn38 Sn 0.762 0.845 0.923
Sn39 Sn 0.839 0.577 0.422
Sn40 Sn 0.839 0.762 0.417
Sn41 Sn 0.845 0.422 0.083
Sn42 Sn 0.845 0.923 0.762
Sn43 Sn 0.917 0.155 0.578
Sn44 Sn 0.917 0.262 0.339
Sn45 Sn 0.922 0.077 0.339
Sn46 Sn 0.922 0.345 0.583
Sn47 Sn 0.923 0.661 0.078
Sn48 Sn 0.923 0.762 0.845

Entry 10:
# Ho2Th3Sn3 (GGA-PBE, optimized geometry)
# space-group type = P6_3/mcm
# ΔH_f (0 K) = -558.5 meV per atom
# spin magnetization = 0.00 μB/atom
data_Ho2Th3Sn3
_chemical_formula_sum 'Ho4 Th6 Sn6'
_symmetry_space_group_name_H-M 'P 1'
_symmetry_Int_Tables_number 1
_symmetry_space_group_name_Hall 'P 1'
_cell_length_a 9.229
_cell_length_b 9.229
_cell_length_c 6.404
_cell_angle_alpha 90.00
_cell_angle_beta 90.00
_cell_angle_gamma 120.00
loop_
_atom_site_label
_atom_site_type_symbol
_atom_site_fract_x
_atom_site_fract_y
_atom_site_fract_z
Ho1 Ho 0.333 0.667 0.000
Ho2 Ho 0.333 0.667 0.500
Ho3 Ho 0.667 0.333 0.000
Ho4 Ho 0.667 0.333 0.500
Th1 Th 0.000 0.243 0.250
Th2 Th 0.000 0.757 0.750
Th3 Th 0.243 0.000 0.250
Th4 Th 0.243 0.243 0.750
Th5 Th 0.757 0.000 0.750
Th6 Th 0.757 0.757 0.250
Sn1 Sn 0.000 0.399 0.750
Sn2 Sn 0.000 0.601 0.250
Sn3 Sn 0.399 0.000 0.750
Sn4 Sn 0.399 0.399 0.250
Sn5 Sn 0.601 0.000 0.250
Sn6 Sn 0.601 0.601 0.750

Entry 11:
# HoThSn2 (GGA-PBE, optimized geometry)
# offset from the most stable computed form = 0.00 kJ per mole of atoms
# space-group type = Amm2
# ΔH_f (0 K) = -609.2 meV per atom
# spin magnetization = 0.00 μB/atom
data_HoThSn2
_chemical_formula_sum 'Ho1 Th1 Sn2'
_symmetry_space_group_name_H-M 'P 1'
_symmetry_Int_Tables_number 1
_symmetry_space_group_name_Hall 'P 1'
_cell_length_a 4.464
_cell_length_b 6.219
_cell_length_c 6.219
_cell_angle_alpha 42.26
_cell_angle_beta 90.00
_cell_angle_gamma 90.00
loop_
_atom_site_label
_atom_site_type_symbol
_atom_site_fract_x
_atom_site_fract_y
_atom_site_fract_z
Ho1 Ho 0.000 0.000 0.000
Th1 Th 0.500 0.730 0.730
Sn1 Sn 0.000 0.270 0.270
Sn2 Sn 0.500 0.458 0.458

Entry 12:
# HoTh2Sn (GGA-PBE, optimized geometry)
# offset from the most stable computed form = 48.15 kJ per mole of atoms
# space-group type = R-3m
# ΔH_f (0 K) = 154.9 meV per atom
# spin magnetization = 0.00 μB/atom
data_HoTh2Sn
_chemical_formula_sum 'Ho1 Th2 Sn1'
_symmetry_space_group_name_H-M 'P 1'
_symmetry_Int_Tables_number 1
_symmetry_space_group_name_Hall 'P 1'
_cell_length_a 12.466
_cell_length_b 12.466
_cell_length_c 12.466
_cell_angle_alpha 16.10
_cell_angle_beta 16.10
_cell_angle_gamma 16.10
loop_
_atom_site_label
_atom_site_type_symbol
_atom_site_fract_x
_atom_site_fract_y
_atom_site_fract_z
Ho1 Ho 0.000 0.000 0.000
Th1 Th 0.413 0.413 0.413
Th2 Th 0.587 0.587 0.587
Sn1 Sn 0.500 0.500 0.500